# Mo2ClF2

A relaxed structure of Mo2ClF2 (PBE+U, Alexandria).

Output
space-group type	No. 139
distance to the lowest polymorph of the same formula	262	meV per atom

abc: 4.1786 4.1786 5.4212
angles: 67.33 67.33 90.00
Each line ends with the local moment (μB).
Element x y z (fractional)
Mo  0.6169  0.6169  0.7662  1.31
Mo  0.3831  0.3831  0.2338  1.31
F  0.2500  0.7500  0.5000  0.01
Cl  0.0000  0.0000  0.0000  0.05
F  0.7500  0.2500  0.5000  0.01